No. 1
BeAl2Au | PBE | optimized geometry

Its magnetic moment is 0.00 μB per formula unit.

Geometry as POSCAR:
```
BeAl2Au
1.0
-1.392 3.989 1.226
-3.452 1.840 -2.012
-3.818 0.435 2.141
Al Be Au
2 1 1
Direct
0.000 0.000 0.000 Al
0.250 0.250 0.250 Al
0.750 0.750 0.750 Be
0.500 0.500 0.500 Au
```

---

No. 2
Be2AlAu2 | PBE | optimized geometry

For the energy above the most stable polymorph in this dataset, the calculation gives 0.0858 eV per atom. Its magnetic moment is 0.00 μB per formula unit.

Geometry as POSCAR:
```
Be2AlAu2
1.0
6.889 0.000 0.000
0.000 6.889 0.000
0.000 0.000 2.891
Au Al Be
4 2 4
Direct
0.823 0.323 0.500 Au
0.323 0.177 0.500 Au
0.677 0.823 0.500 Au
0.177 0.677 0.500 Au
0.500 0.500 0.000 Al
0.000 0.000 0.000 Al
0.882 0.618 0.000 Be
0.382 0.882 0.000 Be
0.118 0.382 0.000 Be
0.618 0.118 0.000 Be
```

---

No. 3
Be2Al2Au7 | PBE | optimized geometry

Its magnetic moment is 0.00 μB per formula unit.

Geometry as POSCAR:
```
Be2Al2Au7
1.0
4.114 0.000 -1.256
-1.058 6.041 -3.465
-0.075 -0.037 7.120
Au Be Al
7 2 2
Direct
0.153 0.053 0.306 Au
0.871 0.192 0.742 Au
0.847 0.747 0.694 Au
0.624 0.742 0.248 Au
0.376 0.494 0.752 Au
0.500 0.003 0.000 Au
0.129 0.450 0.258 Au
0.000 0.619 0.000 Be
0.500 0.339 0.000 Be
0.716 0.323 0.431 Al
0.284 0.891 0.569 Al
```

---

No. 4
Be2AlAu | PBE | optimized geometry

Its magnetic moment is 0.00 μB per formula unit.

Geometry as POSCAR:
```
Be2AlAu
1.0
3.124 -0.005 0.000
0.006 3.124 0.000
0.000 0.000 5.172
Au Be Al
1 2 1
Direct
0.500 0.500 0.750 Au
0.000 0.000 0.493 Be
0.000 0.000 0.007 Be
0.500 0.500 0.250 Al
```

---

No. 5
Be3AlAu | PBE | optimized geometry

For the energy above the most stable polymorph in this dataset, the calculation gives 0.0000 eV per atom. Its magnetic moment is 0.00 μB per formula unit.

Geometry as POSCAR:
```
Be3AlAu
1.0
4.356 0.000 0.000
0.000 4.356 0.000
0.000 0.000 4.356
Be Au Al
3 1 1
Direct
0.000 0.500 0.000 Be
0.500 0.000 0.000 Be
0.000 0.000 0.500 Be
0.000 0.000 0.000 Au
0.500 0.500 0.500 Al
```

---

No. 6
BeAl2Au | PBE | optimized geometry

Its magnetic moment is 0.00 μB per formula unit.

Geometry as POSCAR:
```
BeAl2Au
1.0
-2.324 -1.336 -0.877
1.407 -2.445 -0.001
-2.032 -1.172 7.174
Be Al Au
1 2 1
Direct
0.500 0.500 0.750 Be
0.000 0.000 0.524 Al
0.000 0.000 0.976 Al
0.500 0.500 0.250 Au
```

---

No. 7
Be2AlAu | PBE | optimized geometry

Its magnetic moment is 0.00 μB per formula unit.

Geometry as POSCAR:
```
Be2AlAu
1.0
6.901 0.000 0.000
0.000 6.901 0.000
3.451 3.451 2.473
Be Al Au
4 2 2
Direct
0.655 0.125 0.250 Be
0.095 0.625 0.250 Be
0.875 0.905 0.750 Be
0.375 0.345 0.750 Be
0.250 0.750 0.500 Al
0.500 0.500 0.000 Al
0.750 0.250 0.500 Au
0.000 0.000 0.000 Au
```

---

No. 8
BeAlAu2 | PBE | optimized geometry

Its magnetic moment is 0.00 μB per formula unit.

Geometry as POSCAR:
```
BeAlAu2
1.0
-1.785 -0.899 2.063
0.275 -2.701 -0.938
5.721 -0.988 4.518
Be Au Al
1 2 1
Direct
0.000 0.000 0.500 Be
0.000 0.000 0.977 Au
0.500 0.500 0.306 Au
0.500 0.500 0.717 Al
```

---

Number 1: raw total energy -3.486 eV/atom. Number 2: raw total energy -3.626 eV/atom. Number 3: raw total energy -3.637 eV/atom. Number 4: raw total energy -3.621 eV/atom. Number 5: raw total energy -3.039 eV/atom. Number 6: raw total energy -3.575 eV/atom. Number 7: raw total energy -3.243 eV/atom. Number 8: raw total energy -3.571 eV/atom.